No. 1
The following is a PBE calculation of Sb2Te3 after structural relaxation, from Alexandria.

abc: 3.3399 3.3399 15.7015
angles: 90.00 90.00 120.00
Space group P6/mmm (No. 191)
Asymmetric unit:
Sb: 0.0000 0.0000 0.2005 (multiplicity 2)
Te: 0.0000 0.0000 0.0000 (multiplicity 1)
Te: 0.0000 0.0000 0.3928 (multiplicity 2)

## Properties
formation energy from raw total energies	0.1791	eV per atom

=====

No. 2
The following is a PBE calculation of SbPdW2N after structural relaxation, from Alexandria.

abc: 4.988 4.988 4.902
angles: 90.00 90.00 90.00
Space group P4/mmm (No. 123)
Asymmetric unit:
Sb: 0.000 0.000 0.000 (multiplicity 1)
Pd: 0.000 0.000 0.500 (multiplicity 1)
W: 0.000 0.500 0.500 (multiplicity 2)
N: 0.500 0.500 0.000 (multiplicity 1)

## Properties
formation energy from raw total energies	3.0084	eV per atom

=====

No. 3
The following is a PBE calculation of BaOsRuF2 after structural relaxation, from Alexandria.

abc: 4.600 4.600 7.996
angles: 90.00 90.00 90.00
Space group P4/mmm (No. 123)
Asymmetric unit:
Ba: 0.000 0.000 0.000 (multiplicity 1)
Os: 0.500 0.500 0.500 (multiplicity 1)
Ru: 0.000 0.000 0.500 (multiplicity 1)
F: 0.000 0.500 0.000 (multiplicity 2)

## Properties
formation energy from raw total energies	0.2186	eV per atom

=====

No. 4
The following is a PBE calculation of USnS6 after structural relaxation, from Alexandria.

abc: 10.057 10.057 10.057
angles: 90.00 90.00 90.00
Space group Fm-3m (No. 225)
Asymmetric unit:
U: 0.000 0.000 0.000 (multiplicity 4)
Sn: 0.000 0.000 0.500 (multiplicity 4)
S: 0.000 0.000 0.248 (multiplicity 24)

## Properties
formation energy from raw total energies	-0.2314	eV per atom

=====

No. 5
The following is a PBE calculation of Mg2C after structural relaxation, from Alexandria.

abc: 3.144 6.156 9.830
angles: 90.00 90.00 90.00
Space group Immm (No. 71)
Asymmetric unit:
Mg: 0.000 0.000 0.250 (multiplicity 4)
Mg: 0.000 0.266 0.000 (multiplicity 4)
C: 0.000 0.500 0.430 (multiplicity 4)

## Properties
energy above the most stable polymorph in this dataset	0.080	eV per atom
energy relative to the elements	0.33	eV/atom

=====

No. 6
The following is a PBE calculation of TmIn2Ga after structural relaxation, from Alexandria.

abc: 4.436 4.436 4.641
angles: 90.00 90.00 90.00
Space group P4/mmm (No. 123)
Asymmetric unit:
Tm: 0.000 0.000 0.000 (multiplicity 1)
In: 0.000 0.500 0.500 (multiplicity 2)
Ga: 0.500 0.500 0.000 (multiplicity 1)

## Properties
energy above the most stable polymorph in this dataset	0.000	eV per atom
energy relative to the elements	-0.39	eV/atom

=====

No. 7
The following is a PBE calculation of PmPrHo2Th after structural relaxation, from Alexandria.

abc: 6.325 5.796 9.644
angles: 90.00 108.96 90.00
Space group P2_1/m (No. 11)
Asymmetric unit:
Pm: 0.033 0.250 0.395 (multiplicity 2)
Pr: 0.251 0.250 0.809 (multiplicity 2)
Ho: 0.162 0.750 0.006 (multiplicity 2)
Ho: 0.372 0.750 0.406 (multiplicity 2)
Th: 0.419 0.250 0.204 (multiplicity 2)

## Properties
energy relative to the elements	0.06	eV/atom

=====

No. 8
The following is a PBE calculation of Sm2PuPaS4 after structural relaxation, from Alexandria.

abc: 6.865 3.946 6.879
angles: 90.00 109.32 90.00
Space group P2/m (No. 10)
Asymmetric unit:
Sm: 0.000 0.000 0.000 (multiplicity 1)
Sm: 0.000 0.500 0.500 (multiplicity 1)
Pu: 0.500 0.000 0.500 (multiplicity 1)
Pa: 0.500 0.500 0.000 (multiplicity 1)
S: 0.256 0.000 0.753 (multiplicity 2)
S: 0.257 0.500 0.251 (multiplicity 2)

## Properties
formation energy from raw total energies	-1.8495	eV per atom